Version 1
{"formula": "PrScCo2", "functional": "PBE", "state": "optimized geometry", "cell": [[0.000, 3.316, 3.316], [3.316, 0.000, 3.316], [3.316, 3.316, 0.000]], "species": ["Pr", "Sc", "Co", "Co"], "fractional_positions": [[0.000, 0.000, 0.000], [0.500, 0.500, 0.500], [0.250, 0.250, 0.250], [0.750, 0.750, 0.750]], "crystal_system": "cubic", "density_g_cm3": 6.9, "dos_at_fermi_per_ev_atom": 0.28}

=====

Version 2
{"formula": "PrScCo2", "functional": "PBE", "state": "optimized geometry", "cell": [[4.688, 0.000, 0.000], [0.000, 4.688, 0.000], [0.000, 0.000, 3.325]], "species": ["Pr", "Sc", "Co", "Co"], "fractional_positions": [[0.000, 0.000, 0.000], [0.500, 0.500, 0.000], [0.000, 0.500, 0.500], [0.500, 0.000, 0.500]], "crystal_system": "tetragonal", "density_g_cm3": 6.9, "dos_at_fermi_per_ev_atom": 0.46}

=====

Computed energies relative to the best structure, in kJ/mol of atoms: version 1 0.0; version 2 1.2

=====

Version 1
{"formula": "PrScCo", "functional": "PBE", "state": "optimized geometry", "cell": [[-1.656, 1.656, 6.185], [1.656, -1.656, 6.185], [1.656, 1.656, -6.185]], "species": ["Pr", "Sc", "Co"], "fractional_positions": [[0.000, 0.000, 0.000], [0.262, 0.262, 0.000], [0.655, 0.655, 0.000]], "crystal_system": "tetragonal", "density_g_cm3": 6.0, "dos_at_fermi_per_ev_atom": 0.90}

=====

Version 2
{"formula": "PrScCo", "functional": "PBE", "state": "optimized geometry", "cell": [[4.471, 0.000, 0.000], [0.000, 4.543, 0.000], [-0.497, 0.000, 6.553]], "species": ["Pr", "Pr", "Sc", "Sc", "Co", "Co"], "fractional_positions": [[0.242, 0.250, 0.383], [0.758, 0.750, 0.617], [0.259, 0.750, 0.003], [0.741, 0.250, 0.997], [0.196, 0.250, 0.786], [0.804, 0.750, 0.214]], "crystal_system": "monoclinic", "density_g_cm3": 6.1, "dos_at_fermi_per_ev_atom": 1.11}

=====

Computed energies relative to the best structure, in kJ/mol of atoms: version 1 7.8; version 2 0.0

=====

Version 1
{"formula": "PrSm2Co", "functional": "PBE", "state": "optimized geometry", "cell": [[3.489, 0.000, 0.000], [0.000, 3.489, 0.000], [0.000, 0.000, 9.166]], "species": ["Pr", "Sm", "Sm", "Co"], "fractional_positions": [[0.000, 0.000, 0.000], [0.500, 0.500, 0.321], [0.500, 0.500, 0.679], [0.000, 0.000, 0.500]], "crystal_system": "tetragonal", "density_g_cm3": 7.4, "dos_at_fermi_per_ev_atom": 0.98}

=====

Version 2
{"formula": "PrSm2Co", "functional": "PBE", "state": "optimized geometry", "cell": [[1.854, 1.071, 10.478], [-1.854, 1.071, 10.478], [0.000, -2.141, 10.478]], "species": ["Pr", "Sm", "Sm", "Co"], "fractional_positions": [[0.000, 0.000, 0.000], [0.115, 0.115, 0.115], [0.885, 0.885, 0.885], [0.500, 0.500, 0.500]], "crystal_system": "trigonal", "density_g_cm3": 6.7, "dos_at_fermi_per_ev_atom": 1.45}

=====

Computed energies relative to the best structure, in kJ/mol of atoms: version 1 0.0; version 2 14.9

=====

Version 1
{"formula": "PrSm2Co", "functional": "PBE", "state": "optimized geometry", "cell": [[7.077, 0.000, 0.000], [0.000, 9.785, 0.000], [0.000, 0.000, 6.446]], "species": ["Pr", "Pr", "Pr", "Pr", "Sm", "Sm", "Sm", "Sm", "Sm", "Sm", "Sm", "Sm", "Co", "Co", "Co", "Co"], "fractional_positions": [[0.045, 0.250, 0.143], [0.455, 0.750, 0.643], [0.545, 0.250, 0.357], [0.955, 0.750, 0.857], [0.170, 0.070, 0.676], [0.170, 0.430, 0.676], [0.330, 0.570, 0.176], [0.330, 0.930, 0.176], [0.670, 0.070, 0.824], [0.670, 0.430, 0.824], [0.830, 0.570, 0.324], [0.830, 0.930, 0.324], [0.115, 0.750, 0.435], [0.385, 0.250, 0.935], [0.615, 0.750, 0.065], [0.885, 0.250, 0.565]], "crystal_system": "orthorhombic", "density_g_cm3": 7.4, "dos_at_fermi_per_ev_atom": 1.26}

=====

Version 2
{"formula": "PrSm2Co", "functional": "PBE", "state": "optimized geometry", "cell": [[1.869, -6.110, 0.000], [1.869, 6.110, 0.000], [0.000, 0.000, 9.820]], "species": ["Pr", "Pr", "Sm", "Sm", "Sm", "Sm", "Co", "Co"], "fractional_positions": [[0.088, 0.912, 0.750], [0.912, 0.088, 0.250], [0.359, 0.641, 0.574], [0.359, 0.641, 0.926], [0.641, 0.359, 0.074], [0.641, 0.359, 0.426], [0.238, 0.762, 0.250], [0.762, 0.238, 0.750]], "crystal_system": "orthorhombic", "density_g_cm3": 7.4, "dos_at_fermi_per_ev_atom": 1.34}

=====

Version 3
{"formula": "PrSm2Co", "functional": "PBE", "state": "optimized geometry", "cell": [[1.931, 1.115, 9.241], [-1.931, 1.115, 9.241], [0.000, -2.230, 9.241]], "species": ["Pr", "Sm", "Sm", "Co"], "fractional_positions": [[0.000, 0.000, 0.000], [0.224, 0.224, 0.224], [0.446, 0.446, 0.446], [0.835, 0.835, 0.835]], "crystal_system": "trigonal", "density_g_cm3": 7.0, "dos_at_fermi_per_ev_atom": 1.18}

=====

Computed energies relative to the best structure, in kJ/mol of atoms: version 1 0.0; version 2 2.1; version 3 9.5

=====

Version 1
{"formula": "Pr3SmCo", "functional": "PBE", "state": "optimized geometry", "cell": [[5.490, 0.000, 0.000], [0.000, 5.490, 0.000], [0.000, 0.000, 5.490]], "species": ["Pr", "Pr", "Pr", "Sm", "Co"], "fractional_positions": [[0.000, 0.000, 0.500], [0.000, 0.500, 0.000], [0.500, 0.000, 0.000], [0.500, 0.500, 0.500], [0.000, 0.000, 0.000]], "crystal_system": "cubic", "density_g_cm3": 6.3, "dos_at_fermi_per_ev_atom": 1.79}

=====

Version 2
{"formula": "Pr3SmCo", "functional": "PBE", "state": "optimized geometry", "cell": [[7.716, 0.000, 0.000], [0.000, 6.553, 0.000], [0.000, 0.000, 6.352]], "species": ["Pr", "Pr", "Pr", "Pr", "Pr", "Pr", "Sm", "Sm", "Co", "Co"], "fractional_positions": [[0.000, 0.154, 0.000], [0.249, 0.326, 0.501], [0.251, 0.674, 0.001], [0.500, 0.846, 0.500], [0.749, 0.674, 0.001], [0.751, 0.326, 0.501], [0.000, 0.840, 0.501], [0.500, 0.160, 0.001], [0.000, 0.503, 0.251], [0.500, 0.497, 0.751]], "crystal_system": "orthorhombic", "density_g_cm3": 6.5, "dos_at_fermi_per_ev_atom": 1.29}

=====

Computed energies relative to the best structure, in kJ/mol of atoms: version 1 8.0; version 2 0.0

=====

Version 1
{"formula": "TbPrCo4", "functional": "PBE", "state": "optimized geometry", "cell": [[3.879, 0.000, 0.000], [0.000, 4.162, 0.000], [0.000, 0.000, 6.731]], "species": ["Tb", "Pr", "Co", "Co", "Co", "Co"], "fractional_positions": [[0.000, 0.000, 0.000], [0.500, 0.000, 0.500], [0.000, 0.500, 0.330], [0.000, 0.500, 0.670], [0.500, 0.500, 0.164], [0.500, 0.500, 0.836]], "crystal_system": "orthorhombic", "density_g_cm3": 8.2, "dos_at_fermi_per_ev_atom": 0.80}

=====

Version 2
{"formula": "TbPrCo4", "functional": "PBE", "state": "optimized geometry", "cell": [[0.000, 3.638, 3.638], [3.638, 0.000, 3.638], [3.638, 3.638, 0.000]], "species": ["Tb", "Pr", "Co", "Co", "Co", "Co"], "fractional_positions": [[0.000, 0.000, 0.000], [0.750, 0.750, 0.750], [0.374, 0.374, 0.374], [0.374, 0.374, 0.877], [0.374, 0.877, 0.374], [0.877, 0.374, 0.374]], "crystal_system": "cubic", "density_g_cm3": 9.2, "dos_at_fermi_per_ev_atom": 1.52}

=====

Computed energies relative to the best structure, in kJ/mol of atoms: version 1 0.0; version 2 4.7

=====

Version 1
{"formula": "TbPr2Co2", "functional": "PBE", "state": "optimized geometry", "cell": [[6.006, -2.731, 0.000], [6.006, 2.731, 0.000], [-1.456, 0.000, 3.931]], "species": ["Tb", "Pr", "Pr", "Co", "Co"], "fractional_positions": [[0.000, 0.000, 0.000], [0.324, 0.324, 0.324], [0.676, 0.676, 0.676], [0.142, 0.142, 0.642], [0.858, 0.858, 0.358]], "crystal_system": "monoclinic", "density_g_cm3": 7.2, "dos_at_fermi_per_ev_atom": 0.56}

=====

Version 2
{"formula": "TbPr2Co2", "functional": "PBE", "state": "optimized geometry", "cell": [[6.341, -1.967, 0.000], [6.341, 1.967, 0.000], [-5.707, 0.000, 9.614]], "species": ["Tb", "Tb", "Pr", "Pr", "Pr", "Pr", "Co", "Co", "Co", "Co"], "fractional_positions": [[0.219, 0.219, 0.364], [0.781, 0.781, 0.636], [0.335, 0.335, 0.926], [0.468, 0.468, 0.307], [0.532, 0.532, 0.693], [0.665, 0.665, 0.074], [0.008, 0.008, 0.895], [0.104, 0.104, 0.540], [0.896, 0.896, 0.460], [0.992, 0.992, 0.105]], "crystal_system": "monoclinic", "density_g_cm3": 7.7, "dos_at_fermi_per_ev_atom": 1.11}

=====

Computed energies relative to the best structure, in kJ/mol of atoms: version 1 5.3; version 2 0.0

=====

Version 1
{"formula": "Tb2PrCo", "functional": "PBE", "state": "optimized geometry", "cell": [[1.837, 1.060, 10.371], [-1.837, 1.060, 10.371], [0.000, -2.121, 10.371]], "species": ["Tb", "Tb", "Pr", "Co"], "fractional_positions": [[0.116, 0.116, 0.116], [0.884, 0.884, 0.884], [0.000, 0.000, 0.000], [0.500, 0.500, 0.500]], "crystal_system": "trigonal", "density_g_cm3": 7.1, "dos_at_fermi_per_ev_atom": 1.19}

=====

Version 2
{"formula": "Tb2PrCo", "functional": "PBE", "state": "optimized geometry", "cell": [[1.910, 1.103, 9.109], [-1.910, 1.103, 9.109], [0.000, -2.206, 9.109]], "species": ["Tb", "Tb", "Pr", "Co"], "fractional_positions": [[0.000, 0.000, 0.000], [0.224, 0.224, 0.224], [0.777, 0.777, 0.777], [0.612, 0.612, 0.612]], "crystal_system": "trigonal", "density_g_cm3": 7.5, "dos_at_fermi_per_ev_atom": 1.14}

=====

Version 3
{"formula": "Tb2PrCo", "functional": "PBE", "state": "optimized geometry", "cell": [[7.010, 0.000, 0.000], [0.000, 9.592, 0.000], [0.000, 0.000, 6.405]], "species": ["Tb", "Tb", "Tb", "Tb", "Tb", "Tb", "Tb", "Tb", "Pr", "Pr", "Pr", "Pr", "Co", "Co", "Co", "Co"], "fractional_positions": [[0.170, 0.070, 0.176], [0.170, 0.430, 0.176], [0.330, 0.570, 0.676], [0.330, 0.930, 0.676], [0.670, 0.070, 0.324], [0.670, 0.430, 0.324], [0.830, 0.570, 0.824], [0.830, 0.930, 0.824], [0.045, 0.250, 0.640], [0.455, 0.750, 0.140], [0.545, 0.250, 0.860], [0.955, 0.750, 0.360], [0.114, 0.750, 0.935], [0.386, 0.250, 0.435], [0.614, 0.750, 0.565], [0.886, 0.250, 0.065]], "crystal_system": "orthorhombic", "density_g_cm3": 8.0, "dos_at_fermi_per_ev_atom": 1.18}

=====

Computed energies relative to the best structure, in kJ/mol of atoms: version 1 22.8; version 2 9.0; version 3 0.0

=====

Version 1
{"formula": "Tb2PrCo", "functional": "PBE", "state": "optimized geometry", "cell": [[1.843, -6.118, 0.000], [1.843, 6.118, 0.000], [0.000, 0.000, 9.597]], "species": ["Tb", "Tb", "Tb", "Tb", "Pr", "Pr", "Co", "Co"], "fractional_positions": [[0.142, 0.858, 0.574], [0.142, 0.858, 0.926], [0.858, 0.142, 0.074], [0.858, 0.142, 0.426], [0.416, 0.584, 0.750], [0.584, 0.416, 0.250], [0.259, 0.741, 0.250], [0.741, 0.259, 0.750]], "crystal_system": "orthorhombic", "density_g_cm3": 7.9, "dos_at_fermi_per_ev_atom": 1.29}

=====

Version 2
{"formula": "Tb2PrCo", "functional": "PBE", "state": "optimized geometry", "cell": [[3.436, 0.000, 0.000], [0.000, 3.436, 0.000], [0.000, 0.000, 9.041]], "species": ["Tb", "Tb", "Pr", "Co"], "fractional_positions": [[0.000, 0.000, 0.178], [0.000, 0.000, 0.822], [0.500, 0.500, 0.500], [0.500, 0.500, 0.000]], "crystal_system": "tetragonal", "density_g_cm3": 8.1, "dos_at_fermi_per_ev_atom": 0.90}

=====

Computed energies relative to the best structure, in kJ/mol of atoms: version 1 0.0; version 2 3.8

=====

Version 1
{"formula": "Tb2PrCo2", "functional": "PBE", "state": "optimized geometry", "cell": [[5.781, -1.891, 0.000], [5.781, 1.891, 0.000], [-1.380, 0.000, 5.397]], "species": ["Tb", "Tb", "Pr", "Co", "Co"], "fractional_positions": [[0.150, 0.150, 0.083], [0.850, 0.850, 0.917], [0.500, 0.500, 0.500], [0.223, 0.223, 0.605], [0.777, 0.777, 0.395]], "crystal_system": "monoclinic", "density_g_cm3": 8.1, "dos_at_fermi_per_ev_atom": 1.03}

=====

Version 2
{"formula": "Tb2PrCo2", "functional": "PBE", "state": "optimized geometry", "cell": [[1.970, -7.440, 0.000], [1.970, 7.440, 0.000], [0.000, 0.000, 4.036]], "species": ["Tb", "Tb", "Pr", "Co", "Co"], "fractional_positions": [[0.152, 0.848, 0.000], [0.848, 0.152, 0.000], [0.500, 0.500, 0.500], [0.289, 0.711, 0.500], [0.711, 0.289, 0.500]], "crystal_system": "orthorhombic", "density_g_cm3": 8.1, "dos_at_fermi_per_ev_atom": 1.34}

=====

Computed energies relative to the best structure, in kJ/mol of atoms: version 1 7.7; version 2 0.0

=====

Version 1
{"formula": "PrTh2Co", "functional": "PBE", "state": "optimized geometry", "cell": [[1.886, 1.089, 10.139], [-1.886, 1.089, 10.139], [0.000, -2.178, 10.139]], "species": ["Pr", "Th", "Th", "Co"], "fractional_positions": [[0.000, 0.000, 0.000], [0.114, 0.114, 0.114], [0.886, 0.886, 0.886], [0.500, 0.500, 0.500]], "crystal_system": "trigonal", "density_g_cm3": 8.8, "dos_at_fermi_per_ev_atom": 1.42}

=====

Version 2
{"formula": "PrTh2Co", "functional": "PBE", "state": "optimized geometry", "cell": [[3.539, 0.000, 0.000], [0.000, 3.539, 0.000], [0.000, 0.000, 8.772]], "species": ["Pr", "Th", "Th", "Co"], "fractional_positions": [[0.000, 0.000, 0.000], [0.500, 0.500, 0.318], [0.500, 0.500, 0.682], [0.000, 0.000, 0.500]], "crystal_system": "tetragonal", "density_g_cm3": 10.0, "dos_at_fermi_per_ev_atom": 1.55}

=====

Version 3
{"formula": "PrTh2Co", "functional": "PBE", "state": "optimized geometry", "cell": [[3.730, 0.000, 0.000], [0.000, 9.831, 0.000], [-1.862, 0.000, 6.013]], "species": ["Pr", "Pr", "Th", "Th", "Th", "Th", "Co", "Co"], "fractional_positions": [[0.086, 0.250, 0.174], [0.914, 0.750, 0.826], [0.360, 0.067, 0.721], [0.360, 0.433, 0.721], [0.640, 0.567, 0.279], [0.640, 0.933, 0.279], [0.197, 0.750, 0.393], [0.803, 0.250, 0.607]], "crystal_system": "monoclinic", "density_g_cm3": 10.0, "dos_at_fermi_per_ev_atom": 1.20}

=====

Computed energies relative to the best structure, in kJ/mol of atoms: version 1 22.6; version 2 15.2; version 3 0.0